(1)
ReC | PBE | optimized geometry

Lattice parameters (Å, degrees): 3.034 4.046 3.644 90.00 105.74 90.00
Fractional coordinates of all 4 atoms:
Re (0.235, 0.250, 0.272)
Re (0.765, 0.750, 0.728)
C (0.402, 0.750, 0.145)
C (0.598, 0.250, 0.855)

**Final energy**: -10.187 eV/atom
**ρ**: 15.3 g cm⁻³
**E above lowest polymorph**: 0.409 eV per atom
**Formation energy from the elements**: 0.649 eV per atom


(2)
Tl4Cd2H | PBE | optimized geometry

Lattice parameters (Å, degrees): 8.926 8.926 8.926 149.18 149.18 44.14
Fractional coordinates of all 7 atoms:
Tl (0.000, 0.500, 0.500)
Tl (0.175, 0.175, 0.000)
Tl (0.500, 0.000, 0.500)
Tl (0.825, 0.825, 0.000)
Cd (0.361, 0.361, 0.000)
Cd (0.639, 0.639, 0.000)
H (0.000, 0.000, 0.000)

**Final energy**: -1.893 eV/atom
**ρ**: 9.3 g cm⁻³


(3)
CaTa2Fe | PBE | optimized geometry

Lattice parameters (Å, degrees): 5.210 5.210 5.579 106.90 106.90 35.42
Fractional coordinates of all 4 atoms:
Ca (0.000, 0.000, 0.000)
Ta (0.554, 0.554, 0.537)
Ta (0.799, 0.799, 0.360)
Fe (0.254, 0.254, 0.655)

**Final energy**: -8.004 eV/atom
**ρ**: 9.1 g cm⁻³
**E above lowest polymorph**: 0.234 eV per atom
**Formation energy from the elements**: 0.538 eV per atom


(4)
Dy3Ga3Pd2 | PBE | optimized geometry

Lattice parameters (Å, degrees): 8.134 15.009 5.542 90.00 90.00 90.00
Fractional coordinates of all 32 atoms:
Dy (0.042, 0.110, 0.124)
Dy (0.042, 0.390, 0.124)
Dy (0.186, 0.250, 0.628)
Dy (0.314, 0.750, 0.128)
Dy (0.458, 0.610, 0.624)
Dy (0.458, 0.890, 0.624)
Dy (0.542, 0.110, 0.376)
Dy (0.542, 0.390, 0.376)
Dy (0.686, 0.250, 0.872)
Dy (0.814, 0.750, 0.372)
Dy (0.958, 0.610, 0.876)
Dy (0.958, 0.890, 0.876)
Ga (0.168, 0.750, 0.630)
Ga (0.191, 0.036, 0.610)
Ga (0.191, 0.464, 0.610)
Ga (0.309, 0.536, 0.110)
Ga (0.309, 0.964, 0.110)
Ga (0.332, 0.250, 0.130)
Ga (0.668, 0.750, 0.870)
Ga (0.691, 0.036, 0.890)
Ga (0.691, 0.464, 0.890)
Ga (0.809, 0.536, 0.390)
Ga (0.809, 0.964, 0.390)
Ga (0.832, 0.250, 0.370)
Pd (0.093, 0.608, 0.374)
Pd (0.093, 0.892, 0.374)
Pd (0.407, 0.108, 0.874)
Pd (0.407, 0.392, 0.874)
Pd (0.593, 0.608, 0.126)
Pd (0.593, 0.892, 0.126)
Pd (0.907, 0.108, 0.626)
Pd (0.907, 0.392, 0.626)

**Final energy**: -4.927 eV/atom
**ρ**: 8.9 g cm⁻³
**Formation energy from the elements**: -0.768 eV per atom


(5)
Ca3Pa3VN8 | PBE | optimized geometry

Lattice parameters (Å, degrees): 6.913 6.913 6.913 59.50 59.50 59.50
Fractional coordinates of all 15 atoms:
Ca (0.000, 0.500, 0.500)
Ca (0.500, 0.000, 0.500)
Ca (0.500, 0.500, 0.000)
Pa (0.000, 0.000, 0.500)
Pa (0.000, 0.500, 0.000)
Pa (0.500, 0.000, 0.000)
V (0.500, 0.500, 0.500)
N (0.243, 0.243, 0.243)
N (0.246, 0.723, 0.723)
N (0.277, 0.277, 0.754)
N (0.277, 0.754, 0.277)
N (0.723, 0.246, 0.723)
N (0.723, 0.723, 0.246)
N (0.754, 0.277, 0.277)
N (0.757, 0.757, 0.757)

**Formation energy (no corrections)**: -123.9 kJ per mole of atoms
**Final energy**: -8.631 eV/atom
**ρ**: 7.0 g cm⁻³


(6)
AcTb10Y6 | PBE | optimized geometry

Lattice parameters (Å, degrees): 9.765 9.765 6.880 90.00 90.00 119.98
Fractional coordinates of all 17 atoms:
Ac (0.000, 0.000, 0.000)
Tb (0.000, 0.282, 0.327)
Tb (0.000, 0.718, 0.673)
Tb (0.282, 0.000, 0.327)
Tb (0.282, 0.282, 0.673)
Tb (0.333, 0.667, 0.000)
Tb (0.333, 0.667, 0.500)
Tb (0.667, 0.333, 0.000)
Tb (0.667, 0.333, 0.500)
Tb (0.718, 0.000, 0.673)
Tb (0.718, 0.718, 0.327)
Y (0.000, 0.375, 0.808)
Y (0.000, 0.625, 0.192)
Y (0.375, 0.000, 0.808)
Y (0.375, 0.375, 0.192)
Y (0.625, 0.000, 0.192)
Y (0.625, 0.625, 0.808)

**Final energy**: -5.105 eV/atom
**ρ**: 6.9 g cm⁻³
**Formation energy from the elements**: 0.142 eV per atom


(7)
Tl2InTe2 | PBE | optimized geometry

Lattice parameters (Å, degrees): 8.471 8.471 8.471 147.00 147.00 47.36
Fractional coordinates of all 5 atoms:
Tl (0.250, 0.750, 0.500)
Tl (0.750, 0.250, 0.500)
In (0.000, 0.000, 0.000)
Te (0.402, 0.402, 0.000)
Te (0.598, 0.598, 0.000)

**Formation energy (no corrections)**: -9.6 kJ per mole of atoms
**Final energy**: -2.850 eV/atom
**ρ**: 7.2 g cm⁻³
**E above lowest polymorph**: 0.164 eV per atom


(8)
BaSc2O4 | PBE | optimized geometry

Lattice parameters (Å, degrees): 5.765 5.765 20.738 90.06 90.06 61.28
Fractional coordinates of all 42 atoms:
Ba (0.107, 0.893, 0.750)
Ba (0.226, 0.442, 0.362)
Ba (0.442, 0.226, 0.862)
Ba (0.558, 0.774, 0.138)
Ba (0.774, 0.558, 0.638)
Ba (0.893, 0.107, 0.250)
Sc (0.113, 0.883, 0.571)
Sc (0.117, 0.887, 0.929)
Sc (0.216, 0.458, 0.053)
Sc (0.223, 0.440, 0.195)
Sc (0.440, 0.223, 0.695)
Sc (0.458, 0.216, 0.553)
Sc (0.542, 0.784, 0.447)
Sc (0.560, 0.777, 0.305)
Sc (0.777, 0.560, 0.805)
Sc (0.784, 0.542, 0.947)
Sc (0.883, 0.113, 0.071)
Sc (0.887, 0.117, 0.429)
O (0.022, 0.317, 0.125)
O (0.094, 0.770, 0.124)
O (0.098, 0.207, 0.997)
O (0.103, 0.370, 0.749)
O (0.207, 0.098, 0.497)
O (0.230, 0.906, 0.376)
O (0.250, 0.536, 0.619)
O (0.317, 0.022, 0.625)
O (0.370, 0.103, 0.249)
O (0.426, 0.574, 0.250)
O (0.464, 0.750, 0.881)
O (0.500, 0.500, 0.000)
O (0.500, 0.500, 0.500)
O (0.536, 0.250, 0.119)
O (0.574, 0.426, 0.750)
O (0.630, 0.897, 0.751)
O (0.683, 0.978, 0.375)
O (0.750, 0.464, 0.381)
O (0.770, 0.094, 0.624)
O (0.793, 0.902, 0.503)
O (0.897, 0.630, 0.251)
O (0.902, 0.793, 0.003)
O (0.906, 0.230, 0.876)
O (0.978, 0.683, 0.875)

**Formation energy (no corrections)**: -317.5 kJ per mole of atoms
**Final energy**: -8.207 eV/atom
**ρ**: 4.8 g cm⁻³
**E above lowest polymorph**: 0.000 eV per atom


(9)
Na3Zr2UTe6 | PBE | optimized geometry

Lattice parameters (Å, degrees): 7.257 7.257 8.185 98.52 98.52 120.21
Fractional coordinates of all 12 atoms:
Na (0.000, 0.000, 0.000)
Na (0.340, 0.660, 0.000)
Na (0.660, 0.340, 0.000)
Zr (0.172, 0.828, 0.500)
Zr (0.828, 0.172, 0.500)
U (0.500, 0.500, 0.500)
Te (0.077, 0.421, 0.268)
Te (0.227, 0.227, 0.725)
Te (0.421, 0.077, 0.268)
Te (0.579, 0.923, 0.732)
Te (0.773, 0.773, 0.275)
Te (0.923, 0.579, 0.732)

**Formation energy (no corrections)**: -82.4 kJ per mole of atoms
**Final energy**: -5.120 eV/atom
**ρ**: 5.9 g cm⁻³


(10)
CdAgAu2 | PBE | optimized geometry

Lattice parameters (Å, degrees): 3.500 3.500 6.117 90.00 90.00 90.00
Fractional coordinates of all 4 atoms:
Cd (0.000, 0.000, 0.000)
Ag (0.000, 0.000, 0.500)
Au (0.500, 0.500, 0.253)
Au (0.500, 0.500, 0.747)

**Final energy**: -2.683 eV/atom
**ρ**: 13.6 g cm⁻³
**Formation energy from the elements**: -0.103 eV per atom


(11)
Ba2TlSnPt | PBE | optimized geometry

Lattice parameters (Å, degrees): 6.079 6.079 5.267 90.00 90.00 90.00
Fractional coordinates of all 5 atoms:
Ba (0.000, 0.500, 0.000)
Ba (0.500, 0.000, 0.000)
Tl (0.000, 0.000, 0.500)
Sn (0.500, 0.500, 0.500)
Pt (0.000, 0.000, 0.000)

**Final energy**: -3.691 eV/atom
**ρ**: 6.8 g cm⁻³
**E above lowest polymorph**: 0.076 eV per atom
**Formation energy from the elements**: -0.440 eV per atom


(12)
PmPuBiSb | PBE | optimized geometry

Lattice parameters (Å, degrees): 7.809 7.809 7.809 33.54 33.54 33.54
Fractional coordinates of all 4 atoms:
Pm (0.000, 0.000, 0.000)
Pu (0.495, 0.495, 0.495)
Bi (0.246, 0.246, 0.246)
Sb (0.750, 0.750, 0.750)

**Formation energy (no corrections)**: -73.1 kJ per mole of atoms
**Final energy**: -7.530 eV/atom
**ρ**: 9.2 g cm⁻³
**E above lowest polymorph**: 0.000 eV per atom


(13)
YTl2GeIr | PBE | optimized geometry

Lattice parameters (Å, degrees): 5.086 5.086 5.508 90.00 90.00 90.00
Fractional coordinates of all 5 atoms:
Y (0.000, 0.000, 0.000)
Tl (0.000, 0.500, 0.500)
Tl (0.500, 0.000, 0.500)
Ge (0.000, 0.000, 0.500)
Ir (0.500, 0.500, 0.000)

**Final energy**: -4.101 eV/atom
**ρ**: 8.9 g cm⁻³
**Formation energy from the elements**: 0.834 eV per atom


(14)
Ba3Ca4Pb4 | PBE | optimized geometry

Lattice parameters (Å, degrees): 10.378 10.378 10.378 149.87 131.11 58.51
Fractional coordinates of all 11 atoms:
Ba (0.000, 0.000, 0.000)
Ba (0.389, 0.889, 0.500)
Ba (0.611, 0.111, 0.500)
Ca (0.033, 0.325, 0.708)
Ca (0.383, 0.675, 0.708)
Ca (0.617, 0.325, 0.292)
Ca (0.967, 0.675, 0.292)
Pb (0.211, 0.211, 0.000)
Pb (0.311, 0.500, 0.811)
Pb (0.689, 0.500, 0.189)
Pb (0.789, 0.789, 0.000)

**Final energy**: -3.170 eV/atom
**ρ**: 5.5 g cm⁻³
**Formation energy from the elements**: -0.569 eV per atom


(15)
NaLaPb2 | PBE | optimized geometry

Lattice parameters (Å, degrees): 3.561 3.561 9.652 90.00 90.00 90.00
Fractional coordinates of all 4 atoms:
Na (0.000, 0.000, 0.000)
La (0.000, 0.000, 0.500)
Pb (0.500, 0.500, 0.247)
Pb (0.500, 0.500, 0.753)

**Final energy**: -3.769 eV/atom
**ρ**: 7.8 g cm⁻³
**Formation energy from the elements**: -0.353 eV per atom


(16)
TbCuSi2Ir | PBE | optimized geometry

Lattice parameters (Å, degrees): 5.758 5.758 5.758 138.82 138.82 59.64
Fractional coordinates of all 5 atoms:
Tb (0.000, 0.000, 0.000)
Cu (0.250, 0.750, 0.500)
Si (0.381, 0.381, 0.000)
Si (0.619, 0.619, 0.000)
Ir (0.750, 0.250, 0.500)

**Formation energy (no corrections)**: -75.2 kJ per mole of atoms
**Final energy**: -6.467 eV/atom
**ρ**: 9.5 g cm⁻³


(17)
ZnHgAu4 | PBE | optimized geometry

Lattice parameters (Å, degrees): 5.561 5.561 5.561 60.00 60.00 60.00
Fractional coordinates of all 6 atoms:
Zn (0.000, 0.000, 0.000)
Hg (0.250, 0.250, 0.250)
Au (0.124, 0.625, 0.625)
Au (0.625, 0.124, 0.625)
Au (0.625, 0.625, 0.124)
Au (0.625, 0.625, 0.625)

**Final energy**: -2.377 eV/atom
**ρ**: 14.4 g cm⁻³
**E above lowest polymorph**: 0.109 eV per atom
**Formation energy from the elements**: 0.070 eV per atom


(18)
Cd4Ag3Pd | PBE | optimized geometry

Lattice parameters (Å, degrees): 9.860 9.860 9.860 162.76 146.13 38.24
Fractional coordinates of all 8 atoms:
Cd (0.123, 0.876, 0.247)
Cd (0.370, 0.124, 0.247)
Cd (0.630, 0.876, 0.753)
Cd (0.877, 0.124, 0.753)
Ag (0.000, 0.500, 0.500)
Ag (0.260, 0.260, 0.000)
Ag (0.740, 0.740, 0.000)
Pd (0.500, 0.000, 0.500)

**Final energy**: -2.189 eV/atom
**ρ**: 9.2 g cm⁻³
**E above lowest polymorph**: 0.125 eV per atom
**Formation energy from the elements**: -0.013 eV per atom


(19)
CeThSi2O8 | PBE | optimized geometry

Lattice parameters (Å, degrees): 5.949 5.949 5.949 106.39 106.39 115.83
Fractional coordinates of all 12 atoms:
Ce (0.000, 0.000, 0.000)
Th (0.750, 0.250, 0.500)
Si (0.250, 0.750, 0.500)
Si (0.500, 0.500, 0.000)
O (0.084, 0.405, 0.321)
O (0.084, 0.763, 0.679)
O (0.155, 0.331, 0.824)
O (0.237, 0.916, 0.321)
O (0.507, 0.331, 0.176)
O (0.595, 0.916, 0.679)
O (0.669, 0.493, 0.824)
O (0.669, 0.845, 0.176)

**Formation energy (no corrections)**: -311.4 kJ per mole of atoms
**Final energy**: -8.549 eV/atom
**ρ**: 5.8 g cm⁻³


(20)
NbSbBr2 | PBE | optimized geometry

Lattice parameters (Å, degrees): 4.985 4.985 4.985 60.00 60.00 60.00
Fractional coordinates of all 4 atoms:
Nb (0.000, 0.000, 0.000)
Sb (0.500, 0.500, 0.500)
Br (0.250, 0.250, 0.250)
Br (0.750, 0.750, 0.750)

**Formation energy (no corrections)**: 49.6 kJ per mole of atoms
**Final energy**: -3.870 eV/atom
**ρ**: 7.1 g cm⁻³
**E above lowest polymorph**: 0.770 eV per atom


(21)
Er3Zn2Ni9Ge | PBE | optimized geometry

Lattice parameters (Å, degrees): 5.963 5.963 8.430 90.00 90.00 120.00
Fractional coordinates of all 15 atoms:
Er (0.000, 0.000, 0.000)
Er (0.333, 0.667, 0.720)
Er (0.667, 0.333, 0.280)
Zn (0.333, 0.667, 0.187)
Zn (0.667, 0.333, 0.813)
Ni (0.000, 0.500, 0.000)
Ni (0.133, 0.266, 0.280)
Ni (0.133, 0.867, 0.280)
Ni (0.266, 0.133, 0.720)
Ni (0.500, 0.000, 0.000)
Ni (0.500, 0.500, 0.000)
Ni (0.734, 0.867, 0.280)
Ni (0.867, 0.133, 0.720)
Ni (0.867, 0.734, 0.720)
Ge (0.000, 0.000, 0.500)

**Final energy**: -4.907 eV/atom
**ρ**: 7.9 g cm⁻³
**Formation energy from the elements**: -0.047 eV per atom


(22)
LiLaSm2Tl4 | PBE | optimized geometry

Lattice parameters (Å, degrees): 9.669 9.669 9.669 32.10 32.10 32.10
Fractional coordinates of all 8 atoms:
Li (0.000, 0.000, 0.000)
La (0.500, 0.500, 0.500)
Sm (0.257, 0.257, 0.257)
Sm (0.743, 0.743, 0.743)
Tl (0.121, 0.121, 0.121)
Tl (0.372, 0.372, 0.372)
Tl (0.628, 0.628, 0.628)
Tl (0.879, 0.879, 0.879)

**Final energy**: -3.568 eV/atom
**ρ**: 9.3 g cm⁻³
**Formation energy from the elements**: -0.350 eV per atom